Record 1
The following is a DFT calculation (GGA-PBE) of KCeIn2 after structural relaxation.

Volume: 33.179 Å³ per atom
Space-group type: P4/mmm (123)
Offset from the most stable computed form: 0.0 kJ per mole of atoms
Energy: -13.105 eV for the cell shown
Magnetization: 0.894 μB/cell

Cell: 3.890 3.890 8.770 Å, 90.00 90.00 90.00°
Sites, in units of the cell vectors:
K 0.500 0.500 0.500
Ce 0.500 0.500 0.000
In 0.000 0.000 0.791
In 0.000 0.000 0.209



Record 2
The following is a DFT calculation (GGA-PBE) of TaZn2Se after structural relaxation.

Formation energy without anion corrections: 0.124 eV/atom
Volume: 16.529 Å³ per atom
Space-group type: I-4m2 (119)
Energy: -17.390 eV for the cell shown
Magnetization: 0.000 μB/cell

Cell: 5.035 5.035 5.035 Å, 133.45 133.45 67.95°
Sites, in units of the cell vectors:
Se 0.500 0.500 0.000
Ta 0.750 0.250 0.500
Zn 0.000 0.000 0.000
Zn 0.250 0.750 0.500



Record 3
The following is a DFT calculation (GGA-PBE) of ScV2Cl8 after structural relaxation.

Formation energy without anion corrections: -1.371 eV/atom
Volume: 31.690 Å³ per atom
Space-group type: C2/m (12)
Energy: -54.420 eV for the cell shown
Magnetization: 5.000 μB/cell

Cell: 6.286 8.044 8.044 Å, 59.28 86.05 86.05°
Sites, in units of the cell vectors:
Sc 0.000 0.000 0.000
V 0.620 0.839 0.839
V 0.380 0.161 0.161
Cl 0.227 0.291 0.862
Cl 0.773 0.138 0.709
Cl 0.248 0.847 0.847
Cl 0.752 0.153 0.153
Cl 0.227 0.862 0.291
Cl 0.773 0.709 0.138
Cl 0.688 0.682 0.682
Cl 0.312 0.318 0.318



Record 4
The following is a DFT calculation (GGA-PBE) of Li2ZnRe after structural relaxation.

Volume: 15.116 Å³ per atom
Space-group type: P4mm (99)
Energy: -16.964 eV for the cell shown
Magnetization: 0.000 μB/cell

Cell: 2.601 2.601 8.936 Å, 90.00 90.00 90.00°
Sites, in units of the cell vectors:
Li 0.000 0.000 0.978
Li 0.500 0.500 0.267
Re 0.000 0.000 0.508
Zn 0.500 0.500 0.748



Record 5
The following is a DFT calculation (GGA-PBE) of CaMgCr after structural relaxation.

Volume: 32.614 Å³ per atom
Space-group type: F-43m (216)
Energy: -10.351 eV for the cell shown
Magnetization: 4.780 μB/cell

Cell: 5.172 5.172 5.172 Å, 60.00 60.00 60.00°
Sites, in units of the cell vectors:
Ca 0.750 0.750 0.750
Cr 0.000 0.000 0.000
Mg 0.500 0.500 0.500



Record 6
The following is a DFT calculation (GGA-PBE) of AgTe2Mo after structural relaxation.

Formation energy without anion corrections: 0.204 eV/atom
Volume: 23.478 Å³ per atom
Space-group type: Imm2 (44)
Offset from the most stable computed form: 9.7 kJ per mole of atoms
Energy: -19.149 eV for the cell shown
Magnetization: 0.000 μB/cell

Cell: 7.900 7.900 7.900 Å, 155.02 153.15 37.00°
Sites, in units of the cell vectors:
Ag 0.445 0.445 0.000
Mo 0.204 0.704 0.500
Te 0.063 0.063 0.000
Te 0.787 0.287 0.500



Record 7
The following is a DFT calculation (GGA-PBE) of RbPPd2 after structural relaxation.

Volume: 29.661 Å³ per atom
Space-group type: Ama2 (40)
Energy: -34.689 eV for the cell shown
Magnetization: 0.000 μB/cell

Cell: 7.225 5.731 5.730 Å, 89.94 89.99 90.02°
Sites, in units of the cell vectors:
Rb 0.518 0.060 0.342
Rb 0.018 0.561 0.844
P 0.268 0.061 0.842
P 0.768 0.061 0.842
Pd 0.018 0.062 0.586
Pd 0.018 0.061 0.099
Pd 0.518 0.317 0.842
Pd 0.518 0.805 0.843



Record 8
The following is a DFT calculation (GGA-PBE) of Pr2Sm3Cu2 after structural relaxation.

Volume: 28.287 Å³ per atom
Space-group type: C2/m (12)
Energy: -32.493 eV for the cell shown
Magnetization: 0.000 μB/cell

Cell: 3.758 6.637 9.271 Å, 115.60 90.00 106.44°
Sites, in units of the cell vectors:
Pr 0.843 0.687 0.187
Pr 0.157 0.313 0.813
Sm 0.500 0.000 0.000
Sm 0.615 0.231 0.444
Sm 0.385 0.769 0.556
Cu 0.835 0.670 0.768
Cu 0.165 0.330 0.232



Record 9
The following is a DFT calculation (GGA-PBE) of Ti3CuRh after structural relaxation.

Volume: 18.322 Å³ per atom
Space-group type: Pm-3m (221)
Offset from the most stable computed form: 87.1 kJ per mole of atoms
Energy: -31.884 eV for the cell shown
Magnetization: 0.001 μB/cell

Cell: 4.508 4.508 4.508 Å, 90.00 90.00 90.00°
Sites, in units of the cell vectors:
Rh 0.500 0.500 0.500
Cu 0.000 0.000 0.000
Ti 0.000 0.500 0.000
Ti 0.000 0.000 0.500
Ti 0.500 0.000 0.000



Record 10
The following is a DFT calculation (GGA-PBE) of Tb2TiCu3Ni12 after structural relaxation.

Volume: 13.429 Å³ per atom
Space-group type: R-3m (166)
Energy: -99.742 eV for the cell shown
Magnetization: 0.000 μB/cell

Cell: 6.279 6.279 6.279 Å, 82.53 82.53 82.53°
Sites, in units of the cell vectors:
Tb 0.712 0.712 0.712
Tb 0.288 0.288 0.288
Ti 0.000 0.000 0.000
Cu 0.500 0.000 0.000
Cu 0.000 0.500 0.000
Cu 0.000 0.000 0.500
Ni 0.414 0.414 0.858
Ni 0.801 0.801 0.277
Ni 0.277 0.801 0.801
Ni 0.858 0.414 0.414
Ni 0.801 0.277 0.801
Ni 0.414 0.858 0.414
Ni 0.586 0.586 0.142
Ni 0.199 0.199 0.723
Ni 0.723 0.199 0.199
Ni 0.142 0.586 0.586
Ni 0.199 0.723 0.199
Ni 0.586 0.142 0.586



Record 11
The following is a DFT calculation (GGA-PBE) of Ta7Nb2W after structural relaxation.

Volume: 22.661 Å³ per atom
Space-group type: Fm-3m (225)
Energy: -99.544 eV for the cell shown
Magnetization: 0.000 μB/cell

Cell: 6.843 6.843 6.843 Å, 60.00 60.00 60.00°
Sites, in units of the cell vectors:
Ta 0.500 0.500 0.500
Ta 0.249 0.751 0.751
Ta 0.249 0.751 0.249
Ta 0.751 0.249 0.751
Ta 0.751 0.751 0.249
Ta 0.249 0.249 0.751
Ta 0.751 0.249 0.249
Nb 0.250 0.250 0.250
Nb 0.750 0.750 0.750
W 0.000 0.000 0.000



Record 12
The following is a DFT calculation (GGA-PBE) of Sr2ScNi after structural relaxation.

Volume: 32.653 Å³ per atom
Space-group type: Pm (6)
Offset from the most stable computed form: 8.5 kJ per mole of atoms
Energy: -15.027 eV for the cell shown
Magnetization: 0.000 μB/cell

Cell: 3.794 5.406 6.914 Å, 67.08 90.00 90.00°
Sites, in units of the cell vectors:
Ni 0.000 0.708 0.459
Sc 0.500 0.582 0.710
Sr 0.000 0.953 0.969
Sr 0.500 0.256 0.362



Record 13
The following is a DFT calculation (GGA-PBE) of Li3Tc after structural relaxation.

Volume: 15.730 Å³ per atom
Space-group type: R-3m (166)
Offset from the most stable computed form: 5.7 kJ per mole of atoms
Energy: -15.239 eV for the cell shown
Magnetization: 0.616 μB/cell

Cell: 10.008 10.008 10.008 Å, 15.57 15.57 15.57°
Sites, in units of the cell vectors:
Li 0.743 0.743 0.743
Li 0.500 0.500 0.500
Li 0.257 0.257 0.257
Tc 0.000 0.000 0.000



Record 14
The following is a DFT calculation (GGA-PBE) of Rb2UO2F4 after structural relaxation.

Formation energy without anion corrections: -3.124 eV/atom
Volume: 19.376 Å³ per atom
Space-group type: C2/m (12)
Energy: -58.739 eV for the cell shown
Magnetization: 0.000 μB/cell

Cell: 4.911 6.349 6.349 Å, 61.85 87.90 87.90°
Sites, in units of the cell vectors:
Rb 0.186 0.664 0.664
Rb 0.814 0.336 0.336
U 0.500 0.000 0.000
O 0.261 0.135 0.135
O 0.739 0.865 0.865
F 0.280 0.661 0.162
F 0.720 0.838 0.339
F 0.720 0.339 0.838
F 0.280 0.162 0.661



Record 15
The following is a DFT calculation (GGA-PBE) of Ba3C after structural relaxation.

Volume: 44.887 Å³ per atom
Space-group type: Pmmn (59)
Offset from the most stable computed form: 5.3 kJ per mole of atoms
Energy: -26.530 eV for the cell shown
Magnetization: 0.220 μB/cell

Cell: 3.907 8.233 11.162 Å, 90.00 90.00 90.00°
Sites, in units of the cell vectors:
Ba 0.500 0.000 0.529
Ba 0.000 0.500 0.471
Ba 0.000 0.716 0.191
Ba 0.000 0.284 0.191
Ba 0.500 0.216 0.809
Ba 0.500 0.784 0.809
C 0.000 0.000 0.716
C 0.500 0.500 0.284



Record 16
The following is a DFT calculation (GGA-PBE) of ScPaIrRh after structural relaxation.

Volume: 19.135 Å³ per atom
Space-group type: F-43m (216)
Energy: -35.091 eV for the cell shown
Magnetization: 0.002 μB/cell

Cell: 4.766 4.766 4.766 Å, 60.00 60.00 60.00°
Sites, in units of the cell vectors:
Sc 0.250 0.250 0.250
Pa 0.750 0.750 0.750
Rh 0.000 0.000 0.000
Ir 0.500 0.500 0.500



Record 17
The following is a DFT calculation (GGA-PBE) of ScCd after structural relaxation.

Volume: 34.242 Å³ per atom
Space-group type: F-43m (216)
Energy: -5.605 eV for the cell shown
Magnetization: 0.002 μB/cell

Cell: 4.592 4.592 4.592 Å, 60.00 60.00 60.00°
Sites, in units of the cell vectors:
Cd 0.000 0.000 0.000
Sc 0.250 0.250 0.250



Record 18
The following is a DFT calculation (GGA-PBE) of YHgPb4 after structural relaxation.

Volume: 31.359 Å³ per atom
Space-group type: F-43m (216)
Energy: -21.443 eV for the cell shown
Magnetization: 0.000 μB/cell

Cell: 6.432 6.432 6.432 Å, 60.00 60.00 60.00°
Sites, in units of the cell vectors:
Y 0.750 0.750 0.750
Hg 0.000 0.000 0.000
Pb 0.376 0.872 0.376
Pb 0.872 0.376 0.376
Pb 0.376 0.376 0.872
Pb 0.376 0.376 0.376



Record 19
The following is a DFT calculation (GGA-PBE) of Cs2MgSi2S6 after structural relaxation.

Formation energy without anion corrections: -0.903 eV/atom
Volume: 30.163 Å³ per atom
Space-group type: R-3m (166)
Energy: -48.843 eV for the cell shown
Magnetization: 0.000 μB/cell

Cell: 7.033 7.033 8.746 Å, 66.29 66.29 60.00°
Sites, in units of the cell vectors:
Cs 0.783 0.783 0.652
Cs 0.217 0.217 0.348
Mg 0.000 0.000 0.000
Si 0.402 0.402 0.795
Si 0.598 0.598 0.205
S 0.759 0.759 0.225
S 0.257 0.759 0.225
S 0.759 0.257 0.225
S 0.241 0.743 0.775
S 0.743 0.241 0.775
S 0.241 0.241 0.775



Record 20
The following is a DFT calculation (GGA-PBE) of AcPu2Pd4 after structural relaxation.

Volume: 23.633 Å³ per atom
Space-group type: Immm (71)
Energy: -57.543 eV for the cell shown
Magnetization: 11.128 μB/cell

Cell: 4.354 3.960 10.036 Å, 101.38 102.53 90.00°
Sites, in units of the cell vectors:
Ac 0.500 0.000 0.000
Pu 0.811 0.811 0.623
Pu 0.189 0.189 0.377
Pd 0.659 0.659 0.318
Pd 0.341 0.341 0.682
Pd 0.071 0.571 0.142
Pd 0.929 0.429 0.858



Record 21
The following is a DFT calculation (GGA-PBE) of Ac6Co2I3N after structural relaxation.

Formation energy without anion corrections: -0.775 eV/atom
Volume: 32.571 Å³ per atom
Space-group type: C2/m (12)
Energy: -61.137 eV for the cell shown
Magnetization: 0.000 μB/cell

Cell: 7.258 7.258 8.907 Å, 97.77 97.77 120.09°
Sites, in units of the cell vectors:
Ac 0.941 0.621 0.824
Ac 0.739 0.739 0.177
Ac 0.059 0.379 0.176
Ac 0.621 0.941 0.824
Ac 0.261 0.261 0.823
Ac 0.379 0.059 0.176
Co 0.334 0.666 0.000
Co 0.666 0.334 0.000
I 0.171 0.829 0.500
I 0.829 0.171 0.500
I 0.500 0.500 0.500
N 0.000 0.000 0.000



Record 22
The following is a DFT calculation (GGA-PBE) of Tl5H4 after structural relaxation.

Volume: 24.975 Å³ per atom
Space-group type: I4/mmm (139)
Energy: -23.768 eV for the cell shown
Magnetization: 0.000 μB/cell

Cell: 4.415 7.469 7.469 Å, 84.99 72.81 72.81°
Sites, in units of the cell vectors:
Tl 0.000 0.000 0.000
Tl 0.331 0.000 0.338
Tl 0.669 0.000 0.662
Tl 0.669 0.662 0.000
Tl 0.331 0.338 0.000
H 0.463 0.537 0.537
H 0.537 0.463 0.463
H 0.000 0.463 0.537
H 0.000 0.537 0.463



Record 23
The following is a DFT calculation (GGA-PBE) of Ba2Ag after structural relaxation.

Volume: 47.513 Å³ per atom
Space-group type: Pnma (62)
Offset from the most stable computed form: 0.0 kJ per mole of atoms
Energy: -28.922 eV for the cell shown
Magnetization: 0.000 μB/cell

Cell: 4.902 7.025 16.555 Å, 90.00 90.00 90.00°
Sites, in units of the cell vectors:
Ba 0.750 0.865 0.836
Ba 0.250 0.135 0.164
Ba 0.250 0.635 0.336
Ba 0.750 0.365 0.664
Ba 0.750 0.140 0.408
Ba 0.250 0.860 0.592
Ba 0.250 0.360 0.908
Ba 0.750 0.640 0.092
Ag 0.750 0.618 0.483
Ag 0.250 0.382 0.517
Ag 0.250 0.882 0.983
Ag 0.750 0.118 0.017



Record 24
The following is a DFT calculation (GGA-PBE) of BaSb2Au after structural relaxation.

Formation energy without anion corrections: -0.484 eV/atom
Volume: 31.436 Å³ per atom
Space-group type: C2/m (12)
Energy: -15.379 eV for the cell shown
Magnetization: 0.000 μB/cell

Cell: 5.703 5.703 6.207 Å, 68.27 68.27 42.74°
Sites, in units of the cell vectors:
Au 0.750 0.750 0.750
Ba 0.250 0.250 0.250
Sb 0.047 0.047 0.886
Sb 0.453 0.453 0.614



Record 25
The following is a DFT calculation (GGA-PBE) of CaMnSb2As after structural relaxation.

Formation energy without anion corrections: 0.455 eV/atom
Volume: 31.534 Å³ per atom
Space-group type: P4/mmm (123)
Energy: -21.790 eV for the cell shown
Magnetization: 4.630 μB/cell

Cell: 5.450 5.308 5.450 Å, 90.00 90.00 90.00°
Sites, in units of the cell vectors:
Sb 0.000 0.000 0.500
Sb 0.500 0.000 0.000
As 0.000 0.000 0.000
Mn 0.500 0.500 0.500
Ca 0.000 0.500 0.000



Record 26
The following is a DFT calculation (GGA-PBE) of HfThIr2 after structural relaxation.

Volume: 19.830 Å³ per atom
Space-group type: P4/mmm (123)
Energy: -38.342 eV for the cell shown
Magnetization: 0.000 μB/cell

Cell: 3.226 3.226 7.624 Å, 90.00 90.00 90.00°
Sites, in units of the cell vectors:
Ir 0.000 0.000 0.790
Ir 0.000 0.000 0.210
Hf 0.500 0.500 0.000
Th 0.500 0.500 0.500